Entry 1:
Here is crystalline Pd3SeI at its relaxed geometry from the Alexandria database. Energies are from GGA-PBEsol.

Cell: 4.726 4.726 4.726 Å, 90.00 90.00 90.00°
Positions (direct):
Pd: 0.000 0.000 0.500
Pd: 0.000 0.500 0.000
Pd: 0.500 0.000 0.000
Se: 0.000 0.000 0.000
I: 0.500 0.500 0.500

Output
Magnetization = 0.00 Bohr magnetons per cell
Uncorrected formation energy = 217 meV/atom


Entry 2:
Here is crystalline SnTe2PdI at its relaxed geometry from the Alexandria database. Energies are from GGA-PBEsol.

Cell: 5.237 5.237 5.346 Å, 90.00 90.00 90.00°
Positions (direct):
Sn: 0.000 0.000 0.000
Te: 0.000 0.500 0.500
Te: 0.500 0.000 0.500
Pd: 0.500 0.500 0.500
I: 0.500 0.500 0.000

Output
Magnetization = 0.00 Bohr magnetons per cell
Uncorrected formation energy = 95 meV/atom


Entry 3:
Here is crystalline SrTe2PdI at its relaxed geometry from the Alexandria database. Energies are from GGA-PBEsol.

Cell: 5.312 5.312 5.450 Å, 90.00 90.00 90.00°
Positions (direct):
Sr: 0.000 0.000 0.000
Te: 0.000 0.500 0.500
Te: 0.500 0.000 0.500
Pd: 0.500 0.500 0.500
I: 0.500 0.500 0.000

Output
Magnetization = 0.00 Bohr magnetons per cell
Uncorrected formation energy = -631 meV/atom


Q: uncorrected formation energy of number 3 (SrTe2PdI)?
A: -631 meV/atom